# K14In4O13

An optimized crystal structure of K14In4O13 (PBE, Alexandria).

Size of the total moment (μB/f.u.): 0.72
Formation energy without anion corrections (eV/atom): -1.374
D(E_F) (states/eV/atom): 0.000

Lattice parameters (Å, degrees): 6.925 31.820 6.923 90.00 119.16 90.00
Space group P2_1/c (No. 14)
Asymmetric unit:
K  0.135  0.159  0.495 x4
K  0.159  0.552  0.000 x4
K  0.241  0.110  0.039 x4
K  0.270  0.501  0.539 x4
K  0.274  0.725  0.560 x4
K  0.292  0.218  0.053 x4
K  0.292  0.612  0.538 x4
In  0.327  0.055  0.501 x4
In  0.342  0.666  0.999 x4
O  0.028  0.058  0.211 x4
O  0.042  0.671  0.708 x4
O  0.317  0.673  0.285 x4
O  0.320  0.058  0.795 x4
O  0.435  0.210  0.498 x4
O  0.466  0.604  0.004 x4
O  0.500  0.000  0.500 x2